The following is a DFT calculation (PBE) of a relaxed AgBi2SN crystal.

```
AgBi2SN
1.0
5.0282 0.0000 0.0000
0.0000 4.0556 0.0000
0.0000 0.0000 5.0282
N Ag Bi S
1 1 2 1
Cartesian
0.0000 0.0000 0.0000
2.5141 2.0278 2.5141
2.5141 0.0000 0.0000
0.0000 0.0000 2.5141
0.0000 2.0278 0.0000
```

Calculated values
* E_tot: -3.9590 eV per atom
* E_form (uncorrected): 63.1 kJ/mol of atoms
* magnetic moment: 0.000 Bohr magnetons per cell